Record 1
Here is a geometry-optimized LiMg2RhO4 structure from Alexandria. Energies are from PBE.

Structure (CIF):
```
data_LiMg2RhO4
_symmetry_space_group_name_H-M 'I -4 m 2'
_symmetry_Int_Tables_number 119
_symmetry_space_group_name_Hall 'I -4 -2'
_cell_length_a 4.260
_cell_length_b 4.260
_cell_length_c 8.432
_cell_angle_alpha 90.00
_cell_angle_beta 90.00
_cell_angle_gamma 90.00
loop_
_atom_site_label
_atom_site_type_symbol
_atom_site_fract_x
_atom_site_fract_y
_atom_site_fract_z
Li1 Li 0.000 0.000 0.000
Mg1 Mg 0.000 0.000 0.500
Mg2 Mg 0.000 0.500 0.250
Rh1 Rh 0.000 0.500 0.750
O1 O 0.000 0.000 0.257
O2 O 0.000 0.500 0.503
```

Output
Raw total energy, eV/atom: -5.904

***

Record 2
Here is a geometry-optimized LiMgRhO4 structure from Alexandria. Energies are from PBE.

Structure (CIF):
```
data_LiMgRhO4
_symmetry_space_group_name_H-M 'I m m a'
_symmetry_Int_Tables_number 74
_symmetry_space_group_name_Hall '-I 2b 2'
_cell_length_a 6.085
_cell_length_b 6.131
_cell_length_c 8.448
_cell_angle_alpha 90.00
_cell_angle_beta 90.00
_cell_angle_gamma 90.00
loop_
_atom_site_label
_atom_site_type_symbol
_atom_site_fract_x
_atom_site_fract_y
_atom_site_fract_z
Li1 Li 0.000 0.250 0.137
Mg1 Mg 0.250 0.250 0.750
Rh1 Rh 0.000 0.000 0.500
O1 O 0.000 0.020 0.728
O2 O 0.220 0.250 0.502
```

Output
Raw total energy, eV/atom: -5.880

***

| no. | formation energy (no corrections) (eV per atom) |
| --- | --- |
| 1 | -1.87 |
| 2 | -1.50 |